13
Lattice="-1.0169 -3.6907 1.2602 3.7952 -0.3830 1.9411 -5.8481 5.9143 12.6011" Properties=species:S:1:pos:R:3 comment="PBE-GGA Np4MnGe8, relaxed" space_group="Pmm2, No. 25" formation_energy_ev_per_atom=-0.12 n_ef_per_ev_atom=2.35 magnetic_moment_mub_per_atom=1.29 energy_ev_per_cell=-99.4 crystal_system=orthorhombic pbc="T T T"
Np -0.5151 0.5209 1.1099
Np -5.7820 3.4879 11.9933
Np -0.9583 0.3372 6.6587
Np -1.6443 3.3905 8.6024
Ge -2.7001 2.7307 5.8180
Ge -3.0385 2.4409 11.1410
Ge -3.5680 5.3360 12.7477
Ge -3.8719 1.5562 7.8775
Ge -4.3887 4.4384 9.4565
Ge 1.0565 -1.7004 2.3174
Ge -1.8488 -0.4898 3.5183
Ge 0.5214 1.2003 3.9359
Mn -1.7877 1.8080 3.8521